Entry 1:
Material: Pm3ZnAu2
Method: DFT, PBE
State: relaxed

```
Pm3ZnAu2
1.0
3.689 0.000 0.000
0.000 3.689 0.000
0.000 0.000 10.983
Pm Zn Au
3 1 2
Direct
0.000 0.000 0.000
0.000 0.000 0.336
0.000 0.000 0.664
0.500 0.500 0.500
0.500 0.500 0.171
0.500 0.500 0.829
```

Results
The size of the total moment is 0.0000 μB/atom. As for the theoretical density: 9.93 g cm⁻³. The value obtained for the formation energy is -0.64 eV per atom. The value obtained for the density of states at the Fermi level is 4.08 states/eV per cell. As for the space-group type: P4/mmm, No. 123.

=====

Entry 2:
Material: LiPm2AlPd6
Method: DFT, PBE
State: relaxed

```
LiPm2AlPd6
1.0
4.948 -2.857 0.000
4.948 2.857 0.000
-3.311 0.000 7.596
Li Pm Al Pd
1 2 1 6
Direct
0.000 0.000 0.000
0.207 0.207 0.621
0.793 0.793 0.379
0.500 0.500 0.500
0.240 0.749 0.737
0.251 0.251 0.263
0.251 0.760 0.263
0.749 0.240 0.737
0.749 0.749 0.737
0.760 0.251 0.263
```

Results
The size of the total moment is 0.0000 μB/atom. As for the theoretical density: 7.44 g cm⁻³. The value obtained for the formation energy is -0.60 eV per atom. The value obtained for the density of states at the Fermi level is 3.68 states/eV per cell. As for the space-group type: C2/m, No. 12.